VASP calculation (PBE) on crystalline TiIr2Ru at its relaxed geometry.

Cell lengths 6.2252, 6.2252, 6.2252 Å; angles 90.00, 90.00, 90.00 degrees
With the nearest neighbours (Å) after each atom.
Space group Fm-3m (No. 225)
Unique sites:
1 Ti 0.0000 0.0000 0.0000 x4  8 Ir 2.70
2 Ir 0.2500 0.2500 0.2500 x8  4 Ti 2.70, 4 Ru 2.70
3 Ru 0.0000 0.0000 0.5000 x4  8 Ir 2.70

Computed properties:
M_tot ... 10.517 Bohr magnetons per cell
Uncorrected energy ... -35.17 eV/f.u.
DFT formation energy ... -0.069 eV per atom

VASP calculation (PBE) on crystalline Rb2PaPb2S6 at its relaxed geometry.

Cell lengths 7.2537, 12.3019, 8.2668 Å; angles 90.00, 107.94, 90.00 degrees
With the nearest neighbours (Å) after each atom.
Space group C2/m (No. 12)
Unique sites:
1 Rb 0.0000 0.1748 0.0000 x4  6 S 3.36-3.43
2 Pa 0.0000 0.0000 0.5000 x2  6 S 2.66-2.68
3 Pb 0.0000 0.3323 0.5000 x4  6 S 2.89-2.95
4 S 0.2212 0.1541 0.6944 x8  1 Pa 2.68, 2 Pb 2.89-2.95
5 S 0.2333 0.0000 0.3075 x4  1 Pa 2.66, 2 Pb 2.94

Computed properties:
M_tot ... 0.000 Bohr magnetons per cell
Uncorrected energy ... -55.30 eV/f.u.
E_form (uncorrected) ... -1.06 eV/atom

VASP calculation (PBE) on crystalline AcLa2PrEr at its relaxed geometry.

Cell lengths 6.6231, 17.7706, 6.5947 Å; angles 90.00, 90.00, 90.00 degrees
With the nearest neighbours (Å) after each atom.
Space group Cmcm (No. 63)
Unique sites:
1 Ac 0.0000 0.1580 0.2500 x4  1 Pr 3.31, 2 Er 3.64, 4 La 3.67
2 La 0.2444 0.5000 0.0000 x8  4 La 3.24-3.39, 2 Pr 3.61
3 Pr 0.0000 0.3442 0.2500 x4  1 Ac 3.31, 4 La 3.61, 2 Er 3.64
4 Er 0.0000 0.2568 0.7500 x4  4 Ac 3.64-3.74, 4 Pr 3.64-3.77

Computed properties:
M_tot ... 0.000 Bohr magnetons per cell
Uncorrected energy ... -21.51 eV/f.u.
DFT formation energy ... 0.360 eV per atom

VASP calculation (PBE) on crystalline Ce12PuPb6 at its relaxed geometry.

Cell lengths 12.8927, 12.8927, 12.7738 Å; angles 90.00, 90.00, 120.00 degrees
With the nearest neighbours (Å) after each atom.
Space group R-3 (No. 148, hexagonal axes)
Unique sites:
1 Ce 0.0221 0.8470 0.4340 x18  2 Ce 2.72
2 Ce 0.0567 0.8824 0.8863 x18  1 Pu 2.46
3 Pu 0.0000 0.0000 0.0000 x3  6 Ce 2.46
4 Pb 0.0358 0.7477 0.6635 x18  7 Ce 3.23-3.31

Computed properties:
M_tot ... 0.000 Bohr magnetons per cell
Uncorrected energy ... -111.42 eV/f.u.
DFT formation energy ... -0.191 eV per atom